(1)
# InTe2PtN PBEsol relaxed
data_InTe2PtN
_cell_length_a 5.5940
_cell_length_b 5.5940
_cell_length_c 3.8466
_cell_angle_alpha 90.00
_cell_angle_beta 90.00
_cell_angle_gamma 90.00
_space_group_name_H-M_alt 'P 4/m m m'
_space_group_IT_number 123
_space_group_name_Hall '-P 4 2'
loop_
_atom_site_label
_atom_site_fract_x
_atom_site_fract_y
_atom_site_fract_z
In1 0.0000 0.0000 0.0000
Te1 0.0000 0.5000 0.0000
Pt1 0.5000 0.5000 0.5000
N1 0.0000 0.0000 0.5000
# * E_form (uncorrected): 619 kJ/mol of formula units
# * total magnetization: 0.314 μB per atom



(2)
# Ag3POs PBEsol relaxed
data_Ag3POs
_cell_length_a 4.5136
_cell_length_b 4.5136
_cell_length_c 4.5136
_cell_angle_alpha 90.00
_cell_angle_beta 90.00
_cell_angle_gamma 90.00
_space_group_name_H-M_alt 'P m -3 m'
_space_group_IT_number 221
_space_group_name_Hall '-P 4 2 3'
loop_
_atom_site_label
_atom_site_fract_x
_atom_site_fract_y
_atom_site_fract_z
Ag1 0.0000 0.0000 0.5000
P1 0.0000 0.0000 0.0000
Os1 0.5000 0.5000 0.5000
# * E_form: 1.320 eV per atom
# * total magnetization: 0.439 μB per atom



(3)
# YZnCd PBEsol relaxed
data_YZnCd
_cell_length_a 4.6344
_cell_length_b 4.6344
_cell_length_c 3.4365
_cell_angle_alpha 90.00
_cell_angle_beta 90.00
_cell_angle_gamma 120.00
_space_group_name_H-M_alt 'P -6 m 2'
_space_group_IT_number 187
_space_group_name_Hall 'P -6 2'
loop_
_atom_site_label
_atom_site_fract_x
_atom_site_fract_y
_atom_site_fract_z
Y1 0.0000 0.0000 0.0000
Zn1 0.3333 0.6667 0.5000
Cd1 0.6667 0.3333 0.5000
# * E_form: -0.366 eV per atom
# * total magnetization: 0.000 μB per atom



(4)
# Zn3B7ClO13 PBEsol relaxed
data_Zn3B7ClO13
_cell_length_a 8.5449
_cell_length_b 8.5449
_cell_length_c 20.9845
_cell_angle_alpha 90.00
_cell_angle_beta 90.00
_cell_angle_gamma 120.00
_space_group_name_H-M_alt 'R 3 c'
_space_group_IT_number 161
_space_group_name_Hall 'R 3 -2"c'
loop_
_atom_site_label
_atom_site_fract_x
_atom_site_fract_y
_atom_site_fract_z
Zn1 0.0433 0.5209 0.0000
B1 0.0000 0.0000 0.1093
B2 0.0044 0.5014 0.2570
B3 0.1018 0.2040 0.4787
Cl1 0.0000 0.0000 0.2767
O1 0.0000 0.0000 0.4966
O2 0.0232 0.2213 0.9192
O3 0.0261 0.4369 0.6953
O4 0.0704 0.3753 0.1379
O5 0.1614 0.0010 0.6125
# * E_form (uncorrected): -5124 kJ/mol of formula units
# * total magnetization: 0.000 μB per atom



(5)
# Cd2NiTe PBEsol relaxed
data_Cd2NiTe
_cell_length_a 4.2771
_cell_length_b 4.2771
_cell_length_c 8.5165
_cell_angle_alpha 90.00
_cell_angle_beta 90.00
_cell_angle_gamma 90.00
_space_group_name_H-M_alt 'I -4 m 2'
_space_group_IT_number 119
_space_group_name_Hall 'I -4 -2'
loop_
_atom_site_label
_atom_site_fract_x
_atom_site_fract_y
_atom_site_fract_z
Cd1 0.0000 0.0000 0.0000
Cd2 0.0000 0.5000 0.2500
Ni1 0.0000 0.0000 0.5000
Te1 0.0000 0.5000 0.7500
# * E_form (uncorrected): 94 kJ/mol of formula units
# * total magnetization: 0.000 μB per atom



(6)
# TaIrOs PBEsol relaxed
data_TaIrOs
_cell_length_a 5.9739
_cell_length_b 5.9739
_cell_length_c 5.9739
_cell_angle_alpha 90.00
_cell_angle_beta 90.00
_cell_angle_gamma 90.00
_space_group_name_H-M_alt 'F -4 3 m'
_space_group_IT_number 216
_space_group_name_Hall 'F -4 2 3'
loop_
_atom_site_label
_atom_site_fract_x
_atom_site_fract_y
_atom_site_fract_z
Ta1 0.0000 0.0000 0.0000
Ir1 0.2500 0.2500 0.7500
Os1 0.2500 0.2500 0.2500
# * energy above the lowest structure with this stoichiometry: 487.7 meV/atom
# * E_form: 0.299 eV per atom
# * total magnetization: 0.000 μB per atom



(7)
# SrLa5F17 PBEsol relaxed
data_SrLa5F17
_cell_length_a 7.0527
_cell_length_b 7.1580
_cell_length_c 7.2797
_cell_angle_alpha 89.45
_cell_angle_beta 89.62
_cell_angle_gamma 60.62
_space_group_name_H-M_alt 'P 1'
_space_group_IT_number 1
loop_
_space_group_symop_operation_xyz
'x,y,z'
loop_
_atom_site_label
_atom_site_fract_x
_atom_site_fract_y
_atom_site_fract_z
Sr1 0.0000 0.0000 0.0000
La1 0.0076 0.3456 0.4660
La2 0.3250 0.3322 0.9644
La3 0.3546 0.6507 0.4659
La4 0.6570 0.6785 0.9643
La5 0.6583 0.9988 0.4700
F1 0.0075 0.6709 0.5111
F2 0.0586 0.2783 0.1485
F3 0.3050 0.6569 0.7909
F4 0.3208 0.9996 0.4503
F5 0.3380 0.0035 0.8901
F6 0.3401 0.7200 0.1462
F7 0.3434 0.2998 0.6357
F8 0.3435 0.3632 0.3014
F9 0.6186 0.0030 0.1373
F10 0.6358 0.6985 0.6361
F11 0.6517 0.3494 0.0024
F12 0.6841 0.3239 0.5206
F13 0.7039 0.6325 0.3022
F14 0.7379 0.9854 0.7832
F15 0.9729 0.3634 0.7947
F16 0.9762 0.0008 0.3512
F17 0.9987 0.6548 0.0285
# * E_form (uncorrected): -9202 kJ/mol of formula units
# * total magnetization: 0.000 μB per atom



(8)
# Er2TlZn PBEsol relaxed
data_Er2TlZn
_cell_length_a 7.1854
_cell_length_b 7.1854
_cell_length_c 7.1854
_cell_angle_alpha 90.00
_cell_angle_beta 90.00
_cell_angle_gamma 90.00
_space_group_name_H-M_alt 'F m -3 m'
_space_group_IT_number 225
_space_group_name_Hall '-F 4 2 3'
loop_
_atom_site_label
_atom_site_fract_x
_atom_site_fract_y
_atom_site_fract_z
Er1 0.2500 0.2500 0.2500
Tl1 0.0000 0.0000 0.0000
Zn1 0.0000 0.0000 0.5000
# * E_form: -0.360 eV per atom
# * total magnetization: 0.000 μB per atom



(9)
# Li2LaAu2 PBEsol relaxed
data_Li2LaAu2
_cell_length_a 3.9499
_cell_length_b 3.9499
_cell_length_c 13.1446
_cell_angle_alpha 90.00
_cell_angle_beta 90.00
_cell_angle_gamma 90.00
_space_group_name_H-M_alt 'I 4/m m m'
_space_group_IT_number 139
_space_group_name_Hall '-I 4 2'
loop_
_atom_site_label
_atom_site_fract_x
_atom_site_fract_y
_atom_site_fract_z
Li1 0.0000 0.5000 0.2500
La1 0.0000 0.0000 0.0000
Au1 0.0000 0.0000 0.3909
# * E_form: -0.590 eV per atom
# * total magnetization: 0.000 μB per atom



(10)
# Y2MgCd PBEsol relaxed
data_Y2MgCd
_cell_length_a 7.4319
_cell_length_b 7.4319
_cell_length_c 7.4319
_cell_angle_alpha 90.00
_cell_angle_beta 90.00
_cell_angle_gamma 90.00
_space_group_name_H-M_alt 'F m -3 m'
_space_group_IT_number 225
_space_group_name_Hall '-F 4 2 3'
loop_
_atom_site_label
_atom_site_fract_x
_atom_site_fract_y
_atom_site_fract_z
Y1 0.2500 0.2500 0.2500
Mg1 0.0000 0.0000 0.0000
Cd1 0.0000 0.0000 0.5000
# * E_form: -0.240 eV per atom
# * total magnetization: 0.001 μB per atom



(11)
# RbTaPd2O PBEsol relaxed
data_RbTaPd2O
_cell_length_a 5.0226
_cell_length_b 5.0226
_cell_length_c 3.9074
_cell_angle_alpha 90.00
_cell_angle_beta 90.00
_cell_angle_gamma 90.00
_space_group_name_H-M_alt 'P 4/m m m'
_space_group_IT_number 123
_space_group_name_Hall '-P 4 2'
loop_
_atom_site_label
_atom_site_fract_x
_atom_site_fract_y
_atom_site_fract_z
Rb1 0.0000 0.0000 0.0000
Ta1 0.5000 0.5000 0.5000
Pd1 0.0000 0.5000 0.0000
O1 0.0000 0.0000 0.5000
# * E_form (uncorrected): 906 kJ/mol of formula units
# * total magnetization: 0.000 μB per atom



(12)
# IrPt2 PBEsol relaxed
data_IrPt2
_cell_length_a 2.7655
_cell_length_b 3.8678
_cell_length_c 8.2268
_cell_angle_alpha 90.00
_cell_angle_beta 90.00
_cell_angle_gamma 90.00
_space_group_name_H-M_alt 'I m m m'
_space_group_IT_number 71
_space_group_name_Hall '-I 2 2'
loop_
_atom_site_label
_atom_site_fract_x
_atom_site_fract_y
_atom_site_fract_z
Ir1 0.0000 0.0000 0.0000
Pt1 0.0000 0.0000 0.3347
# * energy above the lowest structure with this stoichiometry: 29.1 meV/atom
# * E_form: 0.086 eV per atom
# * total magnetization: 0.000 μB per atom



(13)
# Sr3CaCu4O8 PBEsol relaxed
data_Sr3CaCu4O8
_cell_length_a 3.3523
_cell_length_b 3.8784
_cell_length_c 15.4734
_cell_angle_alpha 90.00
_cell_angle_beta 90.00
_cell_angle_gamma 90.00
_space_group_name_H-M_alt 'P m m m'
_space_group_IT_number 47
loop_
_space_group_symop_operation_xyz
'x,y,z'
'-x,-y,-z'
'-x,-y,z'
'x,y,-z'
'x,-y,-z'
'-x,y,z'
'-x,y,-z'
'x,-y,z'
loop_
_atom_site_label
_atom_site_fract_x
_atom_site_fract_y
_atom_site_fract_z
Sr1 0.0000 0.0000 0.0000
Sr2 0.0000 0.0000 0.2526
Ca1 0.0000 0.0000 0.5000
Cu1 0.5000 0.5000 0.1261
Cu2 0.5000 0.5000 0.3774
O1 0.5000 0.0000 0.1267
O2 0.5000 0.0000 0.3823
O3 0.5000 0.5000 0.0000
O4 0.5000 0.5000 0.2527
O5 0.5000 0.5000 0.5000
# * E_form (uncorrected): -2725 kJ/mol of formula units
# * total magnetization: 0.000 μB per atom



(14)
# Er2CoIr PBEsol relaxed
data_Er2CoIr
_cell_length_a 6.6093
_cell_length_b 6.6093
_cell_length_c 6.6093
_cell_angle_alpha 90.00
_cell_angle_beta 90.00
_cell_angle_gamma 90.00
_space_group_name_H-M_alt 'F m -3 m'
_space_group_IT_number 225
_space_group_name_Hall '-F 4 2 3'
loop_
_atom_site_label
_atom_site_fract_x
_atom_site_fract_y
_atom_site_fract_z
Er1 0.2500 0.2500 0.2500
Co1 0.0000 0.0000 0.0000
Ir1 0.0000 0.0000 0.5000
# * E_form: -0.555 eV per atom
# * total magnetization: 0.102 μB per atom



(15)
# Eu2ReO5 PBEsol relaxed
data_Eu2ReO5
_cell_length_a 8.6175
_cell_length_b 8.6175
_cell_length_c 5.8295
_cell_angle_alpha 90.00
_cell_angle_beta 90.00
_cell_angle_gamma 90.00
_space_group_name_H-M_alt 'P 4/n'
_space_group_IT_number 85
loop_
_space_group_symop_operation_xyz
'x,y,z'
'-x,-y,-z'
'-y+1/2,x,z'
'y+1/2,-x,-z'
'-x+1/2,-y+1/2,z'
'x+1/2,y+1/2,-z'
'y,-x+1/2,z'
'-y,x+1/2,-z'
loop_
_atom_site_label
_atom_site_fract_x
_atom_site_fract_y
_atom_site_fract_z
Eu1 0.1036 0.8928 0.2489
Re1 0.2500 0.2500 0.1452
Re2 0.2500 0.2500 0.5488
O1 0.0530 0.1610 0.0916
O2 0.0530 0.3387 0.6086
O3 0.2500 0.7500 0.0000
O4 0.2500 0.7500 0.5000
# * E_form (uncorrected): -1880 kJ/mol of formula units
# * total magnetization: 1.498 μB per atom



(16)
# Fe3CuSi PBEsol relaxed
data_Fe3CuSi
_cell_length_a 4.1210
_cell_length_b 4.1210
_cell_length_c 4.1210
_cell_angle_alpha 90.00
_cell_angle_beta 90.00
_cell_angle_gamma 90.00
_space_group_name_H-M_alt 'P m -3 m'
_space_group_IT_number 221
_space_group_name_Hall '-P 4 2 3'
loop_
_atom_site_label
_atom_site_fract_x
_atom_site_fract_y
_atom_site_fract_z
Fe1 0.0000 0.0000 0.5000
Cu1 0.5000 0.5000 0.5000
Si1 0.0000 0.0000 0.0000
# * E_form (uncorrected): 432 kJ/mol of formula units
# * total magnetization: 1.110 μB per atom



(17)
# SrTaTi2 PBEsol relaxed
data_SrTaTi2
_cell_length_a 6.8580
_cell_length_b 6.8580
_cell_length_c 6.8580
_cell_angle_alpha 90.00
_cell_angle_beta 90.00
_cell_angle_gamma 90.00
_space_group_name_H-M_alt 'F m -3 m'
_space_group_IT_number 225
_space_group_name_Hall '-F 4 2 3'
loop_
_atom_site_label
_atom_site_fract_x
_atom_site_fract_y
_atom_site_fract_z
Sr1 0.0000 0.0000 0.0000
Ta1 0.0000 0.0000 0.5000
Ti1 0.2500 0.2500 0.2500
# * E_form: 0.784 eV per atom
# * total magnetization: 0.002 μB per atom



(18)
# Cs2RbCl2 PBEsol relaxed
data_Cs2RbCl2
_cell_length_a 6.2233
_cell_length_b 6.2233
_cell_length_c 15.4583
_cell_angle_alpha 90.00
_cell_angle_beta 90.00
_cell_angle_gamma 90.00
_space_group_name_H-M_alt 'I 4/m m m'
_space_group_IT_number 139
_space_group_name_Hall '-I 4 2'
loop_
_atom_site_label
_atom_site_fract_x
_atom_site_fract_y
_atom_site_fract_z
Cs1 0.0000 0.0000 0.1785
Rb1 0.0000 0.0000 0.5000
Cl1 0.0000 0.5000 0.2500
# * E_form (uncorrected): -666 kJ/mol of formula units
# * total magnetization: 0.000 μB per atom



(19)
# YInCo3 PBEsol relaxed
data_YInCo3
_cell_length_a 4.5227
_cell_length_b 4.5227
_cell_length_c 4.5227
_cell_angle_alpha 90.00
_cell_angle_beta 90.00
_cell_angle_gamma 90.00
_space_group_name_H-M_alt 'P m -3 m'
_space_group_IT_number 221
_space_group_name_Hall '-P 4 2 3'
loop_
_atom_site_label
_atom_site_fract_x
_atom_site_fract_y
_atom_site_fract_z
Y1 0.0000 0.0000 0.0000
In1 0.5000 0.5000 0.5000
Co1 0.0000 0.0000 0.5000
# * E_form: 1.497 eV per atom
# * total magnetization: 0.420 μB per atom



(20)
# Ir2Rh PBEsol relaxed
data_Ir2Rh
_cell_length_a 2.6988
_cell_length_b 3.8114
_cell_length_c 8.0711
_cell_angle_alpha 90.00
_cell_angle_beta 90.00
_cell_angle_gamma 90.00
_space_group_name_H-M_alt 'I m m m'
_space_group_IT_number 71
_space_group_name_Hall '-I 2 2'
loop_
_atom_site_label
_atom_site_fract_x
_atom_site_fract_y
_atom_site_fract_z
Ir1 0.0000 0.0000 0.1676
Rh1 0.0000 0.0000 0.5000
# * energy above the lowest structure with this stoichiometry: 0.0 meV/atom
# * E_form: -0.026 eV per atom
# * total magnetization: 0.000 μB per atom



(21)
# RuRh2W PBEsol relaxed
data_RuRh2W
_cell_length_a 3.7942
_cell_length_b 3.7942
_cell_length_c 7.7098
_cell_angle_alpha 90.00
_cell_angle_beta 90.00
_cell_angle_gamma 90.00
_space_group_name_H-M_alt 'I 4/m m m'
_space_group_IT_number 139
_space_group_name_Hall '-I 4 2'
loop_
_atom_site_label
_atom_site_fract_x
_atom_site_fract_y
_atom_site_fract_z
Ru1 0.0000 0.0000 0.0000
Rh1 0.0000 0.5000 0.2500
W1 0.0000 0.0000 0.5000
# * energy above the lowest structure with this stoichiometry: 51.1 meV/atom
# * E_form: -0.145 eV per atom
# * total magnetization: 0.000 μB per atom



(22)
# Ca2PdSe2 PBEsol relaxed
data_Ca2PdSe2
_cell_length_a 7.5133
_cell_length_b 7.5133
_cell_length_c 3.8523
_cell_angle_alpha 90.00
_cell_angle_beta 90.00
_cell_angle_gamma 90.00
_space_group_name_H-M_alt 'P 4/m b m'
_space_group_IT_number 127
_space_group_name_Hall '-P 4 2ab'
loop_
_atom_site_label
_atom_site_fract_x
_atom_site_fract_y
_atom_site_fract_z
Ca1 0.1529 0.3471 0.0000
Pd1 0.0000 0.0000 0.5000
Se1 0.1605 0.6605 0.5000
# * E_form (uncorrected): -622 kJ/mol of formula units
# * total magnetization: 0.000 μB per atom



(23)
# BeCu2Ir PBEsol relaxed
data_BeCu2Ir
_cell_length_a 8.3996
_cell_length_b 2.7545
_cell_length_c 4.2136
_cell_angle_alpha 90.00
_cell_angle_beta 111.46
_cell_angle_gamma 90.00
_space_group_name_H-M_alt 'C 1 m 1'
_space_group_IT_number 8
loop_
_space_group_symop_operation_xyz
'x,y,z'
'x,-y,z'
'x+1/2,y+1/2,z'
'x+1/2,-y+1/2,z'
loop_
_atom_site_label
_atom_site_fract_x
_atom_site_fract_y
_atom_site_fract_z
Be1 0.0000 0.0000 0.0000
Cu1 0.0150 0.5000 0.4891
Cu2 0.2730 0.0000 0.6715
Ir1 0.2385 0.5000 0.1431
# * E_form: -0.069 eV per atom
# * total magnetization: 0.000 μB per atom



(24)
# La2AlGe3 PBEsol relaxed
data_La2AlGe3
_cell_length_a 4.2785
_cell_length_b 4.3766
_cell_length_c 14.7493
_cell_angle_alpha 90.00
_cell_angle_beta 90.00
_cell_angle_gamma 90.00
_space_group_name_H-M_alt 'I m m 2'
_space_group_IT_number 44
loop_
_space_group_symop_operation_xyz
'x,y,z'
'-x,-y,z'
'-x,y,z'
'x,-y,z'
'x+1/2,y+1/2,z+1/2'
'-x+1/2,-y+1/2,z+1/2'
'-x+1/2,y+1/2,z+1/2'
'x+1/2,-y+1/2,z+1/2'
loop_
_atom_site_label
_atom_site_fract_x
_atom_site_fract_y
_atom_site_fract_z
La1 0.0000 0.0000 0.0000
La2 0.0000 0.5000 0.2426
Al1 0.0000 0.5000 0.8301
Ge1 0.0000 0.0000 0.4123
Ge2 0.0000 0.0000 0.5803
Ge3 0.0000 0.5000 0.6639
# * E_form: -0.722 eV per atom
# * total magnetization: 0.000 μB per atom